(1)
# LiReBi GGA-PBE optimized geometry
data_LiReBi
_chemical_formula_sum 'Li4 Re4 Bi4'
_space_group_name_H-M_alt 'F -4 3 m'
_space_group_IT_number 216
_space_group_name_Hall 'F -4 2 3'
_cell_length_a 6.363
_cell_length_b 6.363
_cell_length_c 6.363
_cell_angle_alpha 90.00
_cell_angle_beta 90.00
_cell_angle_gamma 90.00
loop_
_atom_site_label
_atom_site_type_symbol
_atom_site_fract_x
_atom_site_fract_y
_atom_site_fract_z
Li1 Li 0.000 0.000 0.000
Re1 Re 0.250 0.250 0.750
Bi1 Bi 0.000 0.000 0.500
# Relative energy among the computed polymorphs (meV per atom): 0.0
# Calculated volume (Å³/atom): 21.5

---

(2)
# LiReBiSb GGA-PBE optimized geometry
data_LiReBiSb
_chemical_formula_sum 'Li4 Re4 Bi4 Sb4'
_space_group_name_H-M_alt 'F -4 3 m'
_space_group_IT_number 216
_space_group_name_Hall 'F -4 2 3'
_cell_length_a 6.754
_cell_length_b 6.754
_cell_length_c 6.754
_cell_angle_alpha 90.00
_cell_angle_beta 90.00
_cell_angle_gamma 90.00
loop_
_atom_site_label
_atom_site_type_symbol
_atom_site_fract_x
_atom_site_fract_y
_atom_site_fract_z
Li1 Li 0.000 0.000 0.000
Re1 Re 0.000 0.000 0.500
Bi1 Bi 0.250 0.250 0.250
Sb1 Sb 0.250 0.250 0.750
# Relative energy among the computed polymorphs (meV per atom): 0.0
# Calculated volume (Å³/atom): 19.3